(A)
Here is a relaxed BeGa2F crystal from the Alexandria database. Energies are from PBE.

Cell: 4.3170 4.3170 4.3170 Å, 60.00 60.00 60.00°
Closest atoms and distances in Å follow each position.
Atoms (fractional coordinates):
1 Be 0.0000 0.0000 0.0000  8 Ga 2.64
2 Ga 0.2500 0.2500 0.2500  4 F 2.64, 4 Be 2.64
3 Ga 0.7500 0.7500 0.7500  4 F 2.64, 4 Be 2.64
4 F 0.5000 0.5000 0.5000  8 Ga 2.64

(B)
Here is a relaxed BeGa2F crystal from the Alexandria database. Energies are from PBE.

Cell: 4.9710 4.9710 6.7932 Å, 68.54 68.54 90.00°
Closest atoms and distances in Å follow each position.
Atoms (fractional coordinates):
1 Be 0.5000 0.5000 0.0000  4 Ga 2.28
2 Be 0.2500 0.7500 0.5000  4 Ga 2.28
3 Ga 0.6243 0.1250 0.2500  2 Be 2.28, 2 F 2.28
4 Ga 0.1257 0.6250 0.2500  2 Be 2.28, 2 F 2.28
5 Ga 0.3750 0.3757 0.7500  2 Be 2.28, 2 F 2.28
6 Ga 0.8750 0.8743 0.7500  2 Be 2.28, 2 F 2.28
7 F 0.0000 0.0000 0.0000  4 Ga 2.28
8 F 0.7500 0.2500 0.5000  4 Ga 2.28

Sorted by energy, starting with the most stable: (B), (A).